The following is a DFT calculation (PBEsol) of HgAsN2 after structural relaxation.

```
HgAsN2
1.0
-1.672 3.275 3.372
-4.095 0.743 -2.752
0.700 -5.498 1.997
N Hg As
4 2 2
Cartesian
-4.151 0.731 -0.410
-0.480 -3.570 1.384
-2.795 -1.664 2.076
-2.707 1.542 2.183
-3.139 -1.373 -0.223
0.000 0.000 0.000
-1.928 -0.107 2.839
-2.883 2.009 0.310
```

Calculated values
formation energy (no corrections) = 70.1 kJ per mole of atoms

***

The following is a DFT calculation (PBEsol) of LaSc2Cu after structural relaxation.

```
LaSc2Cu
1.0
3.307 0.000 0.000
0.000 3.307 0.000
0.000 0.000 8.178
Sc Cu La
2 1 1
Cartesian
0.000 0.000 6.657
0.000 0.000 1.521
1.654 1.654 0.000
1.654 1.654 4.089
```

Calculated values
energy relative to the elements = -0.069 eV/atom
polymorph energy (0 for the lowest one) = 0 meV per atom

***

The following is a DFT calculation (PBEsol) of ScMoOs2 after structural relaxation.

```
ScMoOs2
1.0
-4.085 1.532 -0.625
-3.247 -2.767 -1.106
-3.176 -0.944 2.906
Os Sc Mo
2 1 1
Cartesian
0.000 0.000 0.000
-7.880 -1.634 0.881
-2.627 -0.545 0.294
-5.254 -1.090 0.587
```

Calculated values
energy relative to the elements = 0.090 eV/atom

***

The following is a DFT calculation (PBEsol) of Re3PRh after structural relaxation.

```
Re3PRh
1.0
-3.880 0.676 -1.697
-1.811 -1.943 3.367
-0.238 3.763 2.043
Re P Rh
3 1 1
Cartesian
-1.940 0.338 -0.849
-0.119 1.882 1.021
-0.906 -0.971 1.683
0.000 0.000 0.000
-2.965 1.248 1.856
```

Calculated values
energy relative to the elements = 1.019 eV/atom

***

The following is a DFT calculation (PBEsol) of BaTl2Tc after structural relaxation.

```
BaTl2Tc
1.0
3.339 0.023 0.036
-0.050 5.784 0.037
-0.050 -2.370 5.276
Tl Ba Tc
2 1 1
Cartesian
-0.025 2.892 0.018
-0.025 -1.185 2.638
1.669 0.012 0.018
1.620 1.718 2.674
```

Calculated values
energy relative to the elements = 0.720 eV/atom
polymorph energy (0 for the lowest one) = 252 meV per atom

***

The following is a DFT calculation (PBEsol) of YSbOs after structural relaxation.

```
YSbOs
1.0
-0.141 3.344 -0.592
-3.689 -0.620 -2.625
-0.486 0.772 4.478
Y Os Sb
1 1 1
Cartesian
-2.692 1.516 -0.554
0.000 0.000 0.000
-1.554 0.308 2.110
```

Calculated values
formation energy (no corrections) = -31.5 kJ per mole of atoms

***

| no. | DOS(E_F) (states/eV per cell) | total magnetic moment (μB/atom) | E_tot (eV per atom) |
| --- | --- | --- | --- |
| 1 | 1.340 | 0.0000 | -4.9546 |
| 2 | 5.657 | 0.0001 | -5.7915 |
| 3 | 4.446 | 0.0000 | -10.6113 |
| 4 | 5.568 | 0.0002 | -9.7659 |
| 5 | 2.695 | 0.5150 | -3.9485 |
| 6 | 2.413 | 0.0000 | -8.1917 |